# 1
Density functional theory data (PBE) for a geometry-optimized NdDyN2 structure.

The space group is R3m (160). The energy relative to the elements, uncorrected is -1.266 eV per atom.

abc: 3.502 3.502 6.408
angles: 74.14 74.14 60.00
Positions (direct):
1 Nd 0.672 0.672 0.984
2 Dy 0.501 0.501 0.496
3 N 0.244 0.244 0.267
4 N 0.082 0.082 0.753

=====

# 2
Density functional theory data (PBE) for a geometry-optimized CuSnP2S structure.

The space group is P4/mmm (123). The energy relative to the elements, uncorrected is 1.249 eV per atom. The polymorph energy (0 for the lowest one) comes out at 3.378 eV/f.u. For the density of states at the Fermi level, the calculation gives 0.946 states/eV/atom.

abc: 5.044 5.044 5.005
angles: 90.00 90.00 90.00
Each line ends with the local moment (μB).
Positions (direct):
1 P 0.500 0.000 0.000  0.21
2 P 0.000 0.500 0.000  0.21
3 S 0.000 0.000 0.500  0.08
4 Cu 0.500 0.500 0.500  0.06
5 Sn 0.000 0.000 0.000  -0.01

=====

# 3
Density functional theory data (PBE) for a geometry-optimized Pr2Dy3Er6Sc structure.

The space group is C2/m (12). The electronic total energy comes out at -4.749 eV per atom. For the density of states at the Fermi level, the calculation gives 1.295 states/eV/atom.

abc: 6.134 6.134 12.972
angles: 103.72 103.72 119.96
Positions (direct):
1 Er 0.419 0.749 0.749
2 Er 0.251 0.581 0.251
3 Er 0.581 0.251 0.251
4 Er 0.921 0.921 0.251
5 Er 0.749 0.419 0.749
6 Er 0.079 0.079 0.749
7 Dy 0.833 0.167 0.500
8 Dy 0.500 0.500 0.500
9 Dy 0.167 0.833 0.500
10 Sc 0.000 0.000 0.000
11 Pr 0.667 0.333 0.000
12 Pr 0.333 0.667 0.000

=====

Copy entry 3 word for word.
Density functional theory data (PBE) for a geometry-optimized Pr2Dy3Er6Sc structure.

The space group is C2/m (12). The electronic total energy comes out at -4.749 eV per atom. For the density of states at the Fermi level, the calculation gives 1.295 states/eV/atom.

abc: 6.134 6.134 12.972
angles: 103.72 103.72 119.96
Positions (direct):
1 Er 0.419 0.749 0.749
2 Er 0.251 0.581 0.251
3 Er 0.581 0.251 0.251
4 Er 0.921 0.921 0.251
5 Er 0.749 0.419 0.749
6 Er 0.079 0.079 0.749
7 Dy 0.833 0.167 0.500
8 Dy 0.500 0.500 0.500
9 Dy 0.167 0.833 0.500
10 Sc 0.000 0.000 0.000
11 Pr 0.667 0.333 0.000
12 Pr 0.333 0.667 0.000